No. 1
First-principles (GGA-PBEsol) data for a geometry-optimized ZrBe2Te structure, as listed in Alexandria.

Cell and atoms, written as POSCAR:
```
ZrBe2Te
1.0
5.5671 0.0000 0.0000
2.7835 4.9719 0.0000
2.7835 0.0000 4.9719
Be Te Zr
4 2 2
Cartesian
7.6547 4.8433 2.3574 Be
6.2629 2.3574 0.1286 Be
2.0876 0.1286 2.6145 Be
6.2629 2.6145 4.8433 Be
0.0000 0.0000 0.0000 Te
6.9588 2.4860 2.4860 Te
4.1753 2.4860 2.4860 Zr
2.7835 0.0000 0.0000 Zr
```

The calculation puts the density of states at the Fermi level at 2.5 states/eV/f.u. As for the uncorrected formation energy: 0.31 eV per atom. Its space group is I-42d, No. 122.



No. 2
First-principles (GGA-PBEsol) data for a geometry-optimized NbTlFe3 structure, as listed in Alexandria.

Cell and atoms, written as POSCAR:
```
NbTlFe3
1.0
4.5080 0.0000 0.0000
0.0000 4.5080 0.0000
0.0000 0.0000 4.5080
Fe Tl Nb
3 1 1
Cartesian
0.0000 0.0000 2.2540 Fe
2.2540 0.0000 0.0000 Fe
0.0000 2.2540 0.0000 Fe
2.2540 2.2540 2.2540 Tl
0.0000 0.0000 0.0000 Nb
```

The calculation puts the formation energy from the elements at 1.472 eV per atom. The calculation puts the density of states at the Fermi level at 5.5 states/eV/f.u. Its space group is Pm-3m, No. 221.



No. 3
First-principles (GGA-PBEsol) data for a geometry-optimized Y2SiSe structure, as listed in Alexandria.

Cell and atoms, written as POSCAR:
```
Y2SiSe
1.0
4.0698 0.0000 0.0000
0.0000 4.0698 0.0000
-2.0349 -2.0349 5.3273
Y Se Si
2 1 1
Cartesian
2.0349 0.0000 2.6636 Y
0.0000 0.0000 0.0000 Y
2.0349 2.0349 0.0000 Se
0.0000 2.0349 2.6636 Si
```

The calculation puts the density of states at the Fermi level at 1.5 states/eV/f.u. The distance to the lowest polymorph of the same formula comes out at 450.5 meV/atom. As for the uncorrected formation energy: -0.93 eV per atom. Its space group is I-4m2, No. 119.



No. 4
First-principles (GGA-PBEsol) data for a geometry-optimized Cd2AgPb structure, as listed in Alexandria.

Cell and atoms, written as POSCAR:
```
Cd2AgPb
1.0
3.2081 0.0000 0.0000
-1.6040 5.1000 -0.0632
0.0000 -1.3325 5.3981
Cd Ag Pb
2 1 1
Cartesian
1.6040 1.6680 4.1786 Cd
0.0000 2.0995 1.1563 Cd
1.6040 0.0000 0.0000 Ag
0.0000 -0.6662 2.6990 Pb
```

The calculation puts the formation energy from the elements at 0.062 eV per atom. The calculation puts the density of states at the Fermi level at 1.2 states/eV/f.u. Its space group is C2/m, No. 12.



No. 5
First-principles (GGA-PBEsol) data for a geometry-optimized PdPb2Cl6 structure, as listed in Alexandria.

Cell and atoms, written as POSCAR:
```
PdPb2Cl6
1.0
-0.2044 -6.1757 0.6209
7.8408 -0.0746 1.8388
-2.1659 0.9340 8.5770
Pb Cl Pd
4 12 2
Cartesian
5.2237 -2.1720 8.0925 Pb
0.2469 -3.1443 2.9442 Pb
4.0853 -5.6570 4.1124 Pb
1.3852 0.3406 6.9242 Pb
4.0024 -0.4175 6.1255 Cl
2.4613 -4.9444 1.5655 Cl
6.4038 -4.3159 2.4179 Cl
3.0092 -0.3720 9.4712 Cl
-1.6018 -4.7830 7.0851 Cl
5.4318 -3.6301 5.6993 Cl
3.0953 -2.2062 3.2041 Cl
-0.9333 -1.0004 8.6187 Cl
0.0387 -1.6862 5.3374 Cl
7.0723 -0.5333 3.9516 Cl
1.4681 -4.8988 4.9112 Cl
2.3752 -3.1101 7.8326 Cl
0.0000 0.0000 0.0000 Pd
3.8182 -3.1252 1.2298 Pd
```

As for the uncorrected formation energy: -0.91 eV per atom. Its space group is P2_1/c, No. 14.



No. 6
First-principles (GGA-PBEsol) data for a geometry-optimized TlGaAs2 structure, as listed in Alexandria.

Cell and atoms, written as POSCAR:
```
TlGaAs2
1.0
5.9514 0.0000 0.0000
0.0000 5.9514 0.0000
-2.9757 -2.9757 5.8895
As Tl Ga
4 2 2
Cartesian
1.6828 4.4635 1.4724 As
4.2685 1.4878 1.4724 As
-1.4878 -1.2929 4.4171 As
1.4878 1.2929 4.4171 As
0.0000 0.0000 0.0000 Tl
0.0000 2.9757 2.9447 Tl
2.9757 0.0000 2.9447 Ga
2.9757 2.9757 0.0000 Ga
```

The calculation puts the formation energy from the elements at -0.077 eV per atom. The calculation puts the density of states at the Fermi level at 0.2 states/eV/f.u. Its space group is I-42d, No. 122.



No. 7
First-principles (GGA-PBEsol) data for a geometry-optimized Tl2PtPb structure, as listed in Alexandria.

Cell and atoms, written as POSCAR:
```
Tl2PtPb
1.0
4.3495 0.0000 0.0000
0.0000 4.3495 0.0000
-2.1747 -2.1747 4.9923
Tl Pb Pt
2 1 1
Cartesian
0.0000 2.1747 2.4962 Tl
2.1747 0.0000 2.4962 Tl
2.1747 2.1747 0.0000 Pb
0.0000 0.0000 0.0000 Pt
```

The calculation puts the formation energy from the elements at 0.196 eV per atom. The calculation puts the density of states at the Fermi level at 2.5 states/eV/f.u. The distance to the lowest polymorph of the same formula comes out at 217.2 meV/atom. Its space group is I4/mmm, No. 139.



No. 8
First-principles (GGA-PBEsol) data for a geometry-optimized MnReNi6 structure, as listed in Alexandria.

Cell and atoms, written as POSCAR:
```
MnReNi6
1.0
-2.2102 1.5026 -5.5295
-4.0534 -3.5811 2.9094
-4.3497 8.1311 3.9482
Ni Re Mn
24 4 4
Cartesian
-5.4794 -1.1768 -0.4198 Ni
-8.2790 6.1858 0.4322 Ni
-5.0193 0.0923 -2.5265 Ni
-3.7655 2.2861 -2.4331 Ni
-3.4160 1.8975 1.8909 Ni
-7.6600 2.8791 1.5553 Ni
-6.5742 0.8494 0.5698 Ni
-5.1339 7.2294 1.7478 Ni
-4.0391 5.2032 0.7582 Ni
-8.7391 4.9167 2.5390 Ni
-1.8742 1.1360 -1.2109 Ni
-2.1749 4.0655 1.9741 Ni
-2.3343 -0.1331 0.8958 Ni
-3.1318 -1.0392 -1.3101 Ni
-5.5940 5.9603 3.8546 Ni
-7.1973 4.1552 -0.5629 Ni
-5.9226 6.3185 -0.4751 Ni
-5.3066 3.0263 0.6640 Ni
-6.1115 2.1255 -1.5484 Ni
-6.8478 3.7666 3.7611 Ni
-4.6907 -0.2658 1.8031 Ni
-4.5017 3.9272 2.8765 Ni
-2.9533 3.1735 -0.2273 Ni
0.0000 0.0000 0.0000 Ni
-1.0596 1.9807 0.9617 Re
-5.7650 1.7621 2.7626 Re
-3.2902 6.1504 2.9864 Re
-4.8483 4.2905 -1.4346 Re
-6.4092 5.0874 1.6648 Mn
-4.2041 0.9652 -0.3368 Mn
-3.5909 -2.3057 0.7922 Mn
-2.6726 0.2272 -3.4123 Mn
```

The calculation puts the formation energy from the elements at 0.003 eV per atom. The calculation puts the density of states at the Fermi level at 6.9 states/eV/f.u. Its space group is Cmmm, No. 65.



| no. | E_tot (eV per cell) |
| --- | --- |
| 1 | -38.72 |
| 2 | -32.98 |
| 3 | -26.96 |
| 4 | -9.46 |
| 5 | -68.40 |
| 6 | -32.98 |
| 7 | -15.44 |
| 8 | -240.06 |